Compound: P2OsSN
Source: Alexandria
Functional: GGA-PBE
Structure: optimized geometry

Properties
ΔE_f (raw) (eV per atom): 0.152
Space group: No. 8
M_tot (μB/cell): 0.000
Calculated density (g cm⁻³): 6.613
E_tot (eV per cell): -33.7

abc: 4.304 4.304 4.685
angles: 92.62 92.62 59.80
Sites, in units of the cell vectors:
P (0.000, 0.000, 0.000)
P (0.738, 0.738, 0.604)
Os (0.070, 0.070, 0.508)
S (0.395, 0.395, 0.419)
N (0.783, 0.783, 0.961)

Compound: P2OsSN
Source: Alexandria
Functional: GGA-PBE
Structure: optimized geometry

Properties
ΔE_f (raw) (eV per atom): 0.295
Space group: No. 1
M_tot (μB/cell): 0.000
Calculated density (g cm⁻³): 5.906
E_tot (eV per cell): -33.0

abc: 4.297 4.572 4.600
angles: 79.39 85.41 70.78
Sites, in units of the cell vectors:
P (0.000, 0.000, 0.000)
P (0.306, 0.151, 0.660)
Os (0.428, 0.158, 0.152)
S (0.718, 0.624, 0.303)
N (0.068, 0.609, 0.105)

Compound: POsS2N
Source: Alexandria
Functional: GGA-PBE
Structure: optimized geometry

Properties
ΔE_f (raw) (eV per atom): 1.286
Space group: No. 123
M_tot (μB/cell): 0.000
Calculated density (g cm⁻³): 7.902
E_tot (eV per cell): -26.8

abc: 4.037 4.037 3.860
angles: 90.00 90.00 90.00
Sites, in units of the cell vectors:
P (0.000, 0.000, 0.000)
Os (0.500, 0.500, 0.000)
S (0.000, 0.500, 0.500)
S (0.500, 0.000, 0.500)
N (0.000, 0.000, 0.500)